(1)
A geometry-optimized Ho2Co4Sn3 structure. Source: the Alexandria database, functional GGA-PBE.

E_tot, eV/atom: -5.786
DFT formation energy, eV/atom: -0.28
Crystal system: orthorhombic

Cell: 5.8301 16.0372 6.8386 Å, 90.00 90.00 90.00°
Space group Cmce (No. 64)
Unique sites:
Ho: 0.0000 0.1009 0.0818 x8
Co: 0.0000 0.1632 0.4896 x8
Co: 0.2500 0.0775 0.7500 x8
Sn: 0.0000 0.0000 0.5000 x4
Sn: 0.2500 0.2397 0.7500 x8



(2)
A geometry-optimized Tb14SmCd structure. Source: the Alexandria database, functional GGA-PBE.

E_tot, eV/atom: -4.407
DFT formation energy, eV/atom: 0.00
Crystal system: tetragonal

Cell: 7.0539 7.0539 10.0429 Å, 90.00 90.00 90.00°
Space group P4/mmm (No. 123)
Unique sites:
Tb: 0.0000 0.0000 0.0000 x1
Tb: 0.0000 0.5000 0.0000 x2
Tb: 0.0000 0.5000 0.5000 x2
Tb: 0.2502 0.2502 0.2518 x8
Tb: 0.5000 0.5000 0.0000 x1
Sm: 0.0000 0.0000 0.5000 x1
Cd: 0.5000 0.5000 0.5000 x1



(3)
A geometry-optimized Pr8Ge3SeCl4 structure. Source: the Alexandria database, functional GGA-PBE.

Formation energy without anion corrections, kJ/mol of atoms: -131.84
E_tot, eV/atom: -5.301
Crystal system: trigonal

Cell: 8.5948 8.5948 20.8187 Å, 90.00 90.00 120.00°
Space group R-3m (No. 166, hexagonal axes)
Unique sites:
Pr: 0.0000 0.0000 0.2431 x6
Pr: 0.0082 0.5041 0.7571 x18
Ge: 0.0000 0.5000 0.5000 x9
Se: 0.0000 0.0000 0.5000 x3
Cl: 0.0000 0.0000 0.0000 x3
Cl: 0.0000 0.5000 0.0000 x9



(4)
A geometry-optimized Be2TlZn structure. Source: the Alexandria database, functional GGA-PBE.

E_tot, eV/atom: -2.130
DFT formation energy, eV/atom: 0.64
Relative energy among the computed polymorphs, meV/atom: 351
Crystal system: trigonal

Cell: 3.0812 3.0812 23.1340 Å, 90.00 90.00 120.00°
Space group R-3m (No. 166, hexagonal axes)
Unique sites:
Be: 0.0000 0.0000 0.2397 x6
Tl: 0.0000 0.0000 0.0000 x3
Zn: 0.0000 0.0000 0.5000 x3



(5)
A geometry-optimized Pm6Te3PbS2 structure. Source: the Alexandria database, functional GGA-PBE.

Formation energy without anion corrections, kJ/mol of atoms: -142.01
E_tot, eV/atom: -5.630
Crystal system: monoclinic

Cell: 19.0966 4.3030 8.7738 Å, 90.00 104.84 90.00°
Space group C2/m (No. 12)
Unique sites:
Pm: 0.0147 0.0000 0.2563 x4
Pm: 0.1695 0.5000 0.1155 x4
Pm: 0.1770 0.5000 0.5627 x4
Te: 0.0000 0.5000 0.5000 x2
Te: 0.1615 0.0000 0.8308 x4
Pb: 0.0000 0.5000 0.0000 x2
S: 0.1693 0.0000 0.3368 x4



(6)
A geometry-optimized CaAcCe2Tl4 structure. Source: the Alexandria database, functional GGA-PBE.

E_tot, eV/atom: -3.716
DFT formation energy, eV/atom: -0.29
Crystal system: trigonal

Cell: 5.5816 5.5816 27.8858 Å, 90.00 90.00 120.00°
Space group R-3m (No. 166, hexagonal axes)
Unique sites:
Ca: 0.0000 0.0000 0.0000 x3
Ac: 0.0000 0.0000 0.5000 x3
Ce: 0.0000 0.0000 0.2545 x6
Tl: 0.0000 0.0000 0.1222 x6
Tl: 0.0000 0.0000 0.3735 x6



(7)
A geometry-optimized ZnTc structure. Source: the Alexandria database, functional GGA-PBE.

E_tot, eV/atom: -5.093
DFT formation energy, eV/atom: 0.73
Relative energy among the computed polymorphs, meV/atom: 767
Crystal system: tetragonal

Cell: 5.0246 5.0246 5.0795 Å, 90.00 90.00 90.00°
Space group P4_2/mnm (No. 136)
Unique sites:
Zn: 0.1777 0.1777 0.0000 x4
Tc: 0.1678 0.1678 0.5000 x4



(8)
A geometry-optimized NdHg4Pd2 structure. Source: the Alexandria database, functional GGA-PBE.

E_tot, eV/atom: -2.619
DFT formation energy, eV/atom: -0.28
Crystal system: orthorhombic

Cell: 4.4818 18.5990 3.8793 Å, 90.00 90.00 90.00°
Space group Cmmm (No. 65)
Unique sites:
Nd: 0.0000 0.0000 0.0000 x2
Hg: 0.0000 0.1588 0.5000 x4
Hg: 0.0000 0.3090 0.0000 x4
Pd: 0.0000 0.4295 0.5000 x4